a.
Density functional theory data (GGA+U) for V3SnO after structural relaxation.

Cell lengths 4.1338, 4.1338, 4.1338 Å; angles 90.00, 90.00, 90.00 degrees
Positions (direct):
Sn  0.5000  0.5000  0.5000
O  0.0000  0.0000  0.0000
V  0.0000  0.5000  0.0000
V  0.0000  0.0000  0.5000
V  0.5000  0.0000  0.0000

Properties
density = 6.8 g cm⁻³
calculated volume = 14.1 A^3/atom
Fermi-level density of states = 0.551 states/eV per atom

***

b.
Density functional theory data (GGA+U) for V3SnO after structural relaxation.

Cell lengths 5.2445, 5.2445, 5.2445 Å; angles 90.00, 90.00, 90.00 degrees
Positions (direct):
Sn  0.0000  0.0000  0.0000
O  0.5000  0.5000  0.5000
V  0.0000  0.5000  0.0000
V  0.0000  0.0000  0.5000
V  0.5000  0.0000  0.0000

Properties
density = 3.3 g cm⁻³
calculated volume = 28.9 A^3/atom
Fermi-level density of states = 0.564 states/eV per atom

***

Stability check: which of them is least stable? b.

***

a.
Density functional theory data (GGA+U) for SnW2O after structural relaxation.

Cell lengths 4.5113, 4.5113, 4.5113 Å; angles 60.00, 60.00, 60.00 degrees
Positions (direct):
O  0.0000  0.0000  0.0000
Sn  0.5000  0.5000  0.5000
W  0.2500  0.2500  0.2500
W  0.7500  0.7500  0.7500

Properties
density = 12.8 g cm⁻³
calculated volume = 16.2 A^3/atom
Fermi-level density of states = 0.523 states/eV per atom

***

b.
Density functional theory data (GGA+U) for SnW2O after structural relaxation.

Cell lengths 6.7253, 6.7253, 5.7138 Å; angles 53.95, 53.95, 90.00 degrees
Positions (direct):
O  0.5000  0.5000  0.0000
O  0.2500  0.7500  0.5000
Sn  0.0000  0.0000  0.0000
Sn  0.7500  0.2500  0.5000
W  0.5174  0.1250  0.2500
W  0.2326  0.6250  0.2500
W  0.3750  0.4826  0.7500
W  0.8750  0.7674  0.7500

Properties
density = 11.6 g cm⁻³
calculated volume = 17.9 A^3/atom
Fermi-level density of states = 0.210 states/eV per atom

***

Stability check: which of them is least stable? a.